[1]
First-principles (PBE-GGA) data for PO after structural relaxation, as listed in the Alexandria database.

The density of states at the Fermi level comes out at 0.052 states/eV per atom. The offset from the most stable computed form comes out at 151 meV/atom. Its total magnetization is 0.0 μB/f.u.

It has space group P-1 (No. 2), with a = 3.682 Å, b = 3.936 Å, c = 4.790 Å, α = 70.13°, β = 76.89° and γ = 72.98°. The asymmetric unit holds P at (0.197, 0.213, 0.426) and O at (0.121, 0.368, 0.723).

***

[2]
First-principles (PBE-GGA) data for ThIF3 after structural relaxation, as listed in the Alexandria database.

The density of states at the Fermi level comes out at 0.000 states/eV per atom. Its total magnetization is 0.0 μB/f.u. For the total energy, the calculation gives -6.0449 eV per atom.

It has space group I-4m2 (No. 119), with a = 5.372 Å, b = 5.372 Å, c = 15.232 Å, α = 90.00°, β = 90.00° and γ = 90.00°. The asymmetric unit holds Th at (0.000, 0.000, 0.000), Th at (0.000, 0.500, 0.250), I at (0.000, 0.000, 0.346), F at (0.000, 0.229, 0.127) and F at (0.000, 0.500, 0.522).

***

[3]
First-principles (PBE-GGA) data for Nd7Er4Sc after structural relaxation, as listed in the Alexandria database.

The density of states at the Fermi level comes out at 1.336 states/eV per atom. Its total magnetization is 0.0 μB/f.u. The formation energy is 0.0186 eV per atom.

It has space group P-1 (No. 2), with a = 6.278 Å, b = 7.230 Å, c = 8.926 Å, α = 89.95°, β = 76.48° and γ = 89.99°. The asymmetric unit holds Nd at (0.000, 0.000, 0.000), Nd at (0.218, 0.499, 0.333), Nd at (0.278, 0.749, 0.668), Nd at (0.498, 0.250, 0.998), Er at (0.222, 0.999, 0.337), Er at (0.276, 0.250, 0.669) and Sc at (0.000, 0.500, 0.000).

***

[4]
First-principles (PBE-GGA) data for SrTaNi2 after structural relaxation, as listed in the Alexandria database.

The density of states at the Fermi level comes out at 0.790 states/eV per atom. The offset from the most stable computed form comes out at 189 meV/atom. Its total magnetization is 0.8 μB/f.u. The formation energy is 0.1701 eV per atom.

It has space group Cm (No. 8), with a = 7.272 Å, b = 4.185 Å, c = 6.310 Å, α = 90.00°, β = 111.81° and γ = 90.00°. The asymmetric unit holds Sr at (0.000, 0.000, 0.000), Ta at (0.192, 0.000, 0.563), Ni at (0.026, 0.500, 0.568) and Ni at (0.311, 0.500, 0.418).